# 1
Here is crystalline TbSc2Al3 at its relaxed geometry from Alexandria via LeMat-Bulk. Energies are from PBE-GGA.

abc: 3.451 3.451 10.397
angles: 90.00 90.00 90.00
Fractional positions:
Sc (0.500, 0.500, 0.158)
Al (0.000, 0.000, 0.312)
Al (0.000, 0.000, 0.688)
Sc (0.500, 0.500, 0.842)
Al (0.000, 0.000, 0.000)
Tb (0.500, 0.500, 0.500)

Output
- Energy relative to the elements: -2.6 eV per formula unit
- DOS(E_F): 2.70 states/eV/f.u.

=====

# 2
Here is crystalline La2BrCl at its relaxed geometry from Alexandria via LeMat-Bulk. Energies are from PBE-GGA.

abc: 6.210 6.210 6.210
angles: 145.62 115.73 74.96
Fractional positions:
La (0.012, 0.012, 0.000)
Cl (0.250, 0.750, 0.500)
La (0.488, 0.488, 0.000)
Br (0.750, 0.250, 0.500)

Output
- Energy relative to the elements, uncorrected: -1.285 eV/atom
- Excess energy over the best structure of this formula in the dataset: 0.1360 eV/atom
- DOS(E_F): 2.95 states/eV/f.u.

=====

# 3
Here is crystalline PmDy2Tl4 at its relaxed geometry from Alexandria via LeMat-Bulk. Energies are from PBE-GGA.

abc: 6.536 6.536 6.536
angles: 111.91 108.27 108.27
Each line ends with the local moment (μB).
Fractional positions:
Tl (0.000, 0.500, 0.000)  0.00
Tl (0.500, 0.500, 0.500)  0.00
Tl (0.500, 0.000, 0.000)  0.00
Dy (0.500, 0.500, 0.000)  0.10
Dy (0.500, 0.000, 0.500)  0.10
Tl (0.000, 0.000, 0.500)  0.00
Pm (0.000, 0.000, 0.000)  0.06

Output
- Energy relative to the elements: -1.6 eV per formula unit
- Excess energy over the best structure of this formula in the dataset: 0.0000 eV/atom
- DOS(E_F): 6.82 states/eV/f.u.

=====

# 4
Here is crystalline Cs2LiTe at its relaxed geometry from Alexandria via LeMat-Bulk. Energies are from PBE-GGA.

abc: 13.019 13.019 13.019
angles: 153.05 153.05 38.47
Each line ends with the local moment (μB).
Fractional positions:
Cs (0.375, 0.357, 0.482)  0.02
Li (0.500, 0.500, 0.000)  0.06
Li (0.250, 0.750, 0.500)  0.06
Cs (0.875, 0.893, 0.518)  0.02
Cs (0.643, 0.125, 0.018)  0.02
Te (0.750, 0.250, 0.500)  0.03
Cs (0.107, 0.625, 0.982)  0.02
Te (0.000, 0.000, 0.000)  0.03

Output
- Energy relative to the elements, uncorrected: -0.202 eV/atom
- Excess energy over the best structure of this formula in the dataset: 0.4540 eV/atom
- DOS(E_F): 1.87 states/eV/f.u.

=====

# 5
Here is crystalline Mg5Sc6 at its relaxed geometry from Alexandria via LeMat-Bulk. Energies are from PBE-GGA.

abc: 5.026 7.092 7.942
angles: 90.00 71.55 90.00
Fractional positions:
Mg (0.000, 0.500, 0.000)
Sc (0.500, 0.758, 0.000)
Mg (0.672, 0.500, 0.656)
Sc (0.155, 0.757, 0.689)
Mg (0.678, 0.000, 0.644)
Mg (0.328, 0.500, 0.344)
Mg (0.322, 0.000, 0.356)
Sc (0.155, 0.243, 0.689)
Sc (0.845, 0.243, 0.311)
Sc (0.845, 0.757, 0.311)
Sc (0.500, 0.242, 0.000)

Output
- Energy relative to the elements: 1.2 eV per formula unit
- DOS(E_F): 15.96 states/eV/f.u.

=====

# 6
Here is crystalline CaIr2Pt at its relaxed geometry from Alexandria via LeMat-Bulk. Energies are from PBE-GGA.

abc: 4.971 4.971 5.083
angles: 80.42 80.42 33.25
Fractional positions:
Ca (0.751, 0.751, 0.731)
Ir (0.989, 0.989, 0.056)
Pt (0.508, 0.508, 0.500)
Ir (0.252, 0.252, 0.213)

Output
- Energy relative to the elements: -0.4 eV per formula unit
- Excess energy over the best structure of this formula in the dataset: 0.0308 eV/atom
- DOS(E_F): 2.95 states/eV/f.u.

=====

# 7
Here is crystalline NaNd3Sm2S6 at its relaxed geometry from Alexandria via LeMat-Bulk. Energies are from PBE-GGA.

abc: 6.999 6.999 7.023
angles: 99.58 99.58 120.11
Fractional positions:
Nd (0.500, 0.500, 0.500)
S (0.251, 0.251, 0.759)
Sm (0.666, 0.334, 0.000)
Nd (0.836, 0.164, 0.500)
Na (0.000, 0.000, 0.000)
S (0.749, 0.749, 0.241)
S (0.585, 0.918, 0.754)
Nd (0.164, 0.836, 0.500)
Sm (0.334, 0.666, 0.000)
S (0.082, 0.415, 0.246)
S (0.918, 0.585, 0.754)
S (0.415, 0.082, 0.246)

Output
- Energy relative to the elements, uncorrected: -1.954 eV/atom
- DOS(E_F): 4.91 states/eV/f.u.

=====

# 8
Here is crystalline LiAl2TeRh at its relaxed geometry from Alexandria via LeMat-Bulk. Energies are from PBE-GGA.

abc: 4.416 4.840 4.416
angles: 90.00 90.00 90.00
Fractional positions:
Rh (0.500, 0.500, 0.500)
Te (0.000, 0.500, 0.000)
Li (0.000, 0.000, 0.000)
Al (0.500, 0.000, 0.000)
Al (0.000, 0.000, 0.500)

Output
- Energy relative to the elements, uncorrected: 0.616 eV/atom
- DOS(E_F): 2.73 states/eV/f.u.

=====

# 9
Here is crystalline SmURu3 at its relaxed geometry from Alexandria via LeMat-Bulk. Energies are from PBE-GGA.

abc: 5.496 6.087 6.597
angles: 117.47 90.00 90.00
Fractional positions:
Ru (0.250, 0.392, 0.325)
Sm (0.250, 0.412, 0.824)
Ru (0.250, 0.933, 0.325)
Sm (0.750, 0.588, 0.176)
Ru (0.000, 0.000, 0.000)
U (0.250, 0.804, 0.608)
Ru (0.750, 0.608, 0.675)
Ru (0.750, 0.067, 0.675)
Ru (0.500, 0.000, 0.000)
U (0.750, 0.196, 0.392)

Output
- Energy relative to the elements: -1.0 eV per formula unit
- Excess energy over the best structure of this formula in the dataset: 0.0429 eV/atom
- DOS(E_F): 4.94 states/eV/f.u.

=====

# 10
Here is crystalline Ta2ZnCl at its relaxed geometry from Alexandria via LeMat-Bulk. Energies are from PBE-GGA.

abc: 5.528 5.528 5.309
angles: 61.48 61.48 30.06
Fractional positions:
Cl (0.250, 0.250, 0.250)
Zn (0.750, 0.750, 0.750)
Ta (0.521, 0.521, 0.479)
Ta (0.979, 0.979, 0.021)

Output
- Energy relative to the elements, uncorrected: 0.304 eV/atom
- Excess energy over the best structure of this formula in the dataset: 0.3650 eV/atom
- DOS(E_F): 3.26 states/eV/f.u.

=====

# 11
Here is crystalline RbS2I at its relaxed geometry from Alexandria via LeMat-Bulk. Energies are from PBE-GGA.

abc: 9.535 9.535 9.535
angles: 27.59 27.59 27.59
Fractional positions:
S (0.910, 0.910, 0.910)
S (0.090, 0.090, 0.090)
Rb (0.500, 0.500, 0.500)
I (0.000, 0.000, 0.000)

Output
- Energy relative to the elements, uncorrected: 0.027 eV/atom
- Excess energy over the best structure of this formula in the dataset: 0.5480 eV/atom
- DOS(E_F): 5.21 states/eV/f.u.

=====

# 12
Here is crystalline AlV2Zn2 at its relaxed geometry from Alexandria via LeMat-Bulk. Energies are from PBE-GGA.

abc: 3.621 3.621 6.550
angles: 73.95 73.95 90.00
Fractional positions:
Zn (0.750, 0.250, 0.500)
Al (0.000, 0.000, 0.000)
Zn (0.250, 0.750, 0.500)
V (0.418, 0.418, 0.164)
V (0.582, 0.582, 0.836)

Output
- Energy relative to the elements: 1.4 eV per formula unit
- Excess energy over the best structure of this formula in the dataset: 0.1233 eV/atom
- DOS(E_F): 3.44 states/eV/f.u.

=====

# 13
Here is crystalline TaP6Se12 at its relaxed geometry from Alexandria via LeMat-Bulk. Energies are from PBE-GGA.

abc: 10.427 10.427 10.427
angles: 46.55 46.55 46.55
Each line ends with the local moment (μB).
Fractional positions:
Se (0.641, 0.102, 0.099)  0.00
Se (0.898, 0.901, 0.359)  0.00
P (0.531, 0.259, 0.259)  0.00
Se (0.359, 0.898, 0.901)  0.00
P (0.741, 0.469, 0.741)  0.00
Se (0.102, 0.099, 0.641)  0.00
P (0.741, 0.741, 0.469)  0.00
Se (0.372, 0.818, 0.367)  0.00
Se (0.633, 0.628, 0.182)  0.00
Se (0.901, 0.359, 0.898)  0.00
Se (0.367, 0.372, 0.818)  0.00
P (0.469, 0.741, 0.741)  0.00
Ta (0.000, 0.000, 0.000)  0.07
Se (0.628, 0.182, 0.633)  0.00
Se (0.182, 0.633, 0.628)  0.00
P (0.259, 0.531, 0.259)  0.00
Se (0.818, 0.367, 0.372)  0.00
P (0.259, 0.259, 0.531)  0.00
Se (0.099, 0.641, 0.102)  0.00

Output
- Energy relative to the elements, uncorrected: 0.054 eV/atom
- DOS(E_F): 4.46 states/eV/f.u.

=====

Number 1: total moment 0.000 μB per formula unit. Number 2: total moment 0.001 μB per formula unit. Number 3: total moment 0.436 μB per formula unit. Number 4: total moment 0.663 μB per formula unit. Number 5: total moment 0.001 μB per formula unit. Number 6: total moment 0.000 μB per formula unit. Number 7: total moment 0.000 μB per formula unit. Number 8: total moment 0.000 μB per formula unit. Number 9: total moment 0.000 μB per formula unit. Number 10: total moment 0.000 μB per formula unit. Number 11: total moment 0.000 μB per formula unit. Number 12: total moment 0.000 μB per formula unit. Number 13: total moment 0.081 μB per formula unit.